A relaxed KMoO3 crystal. Source: Alexandria, functional PBE+U.

Results
Total magnetization: 0.20 μB per atom
DFT total energy: -31.781 eV per cell

Cell: 5.669 4.005 3.997 Å, 90.00 90.00 134.97°
Last column: magnetic moment on the atom in μB.
Sites, in units of the cell vectors:
K: 0.246 0.179 0.351  0.00
Mo: 0.746 0.179 0.851  1.18
O: 0.746 0.679 0.851  -0.07
O: 0.246 0.679 0.851  -0.07
O: 0.746 0.179 0.351  -0.07